# PmTiVO6

A relaxed PmTiVO6 crystal (PBE with a Hubbard U, Alexandria via LeMat-Bulk).

Fermi-level density of states: 0.00 states/eV per atom
total magnetization: 0.0 μB/f.u.
E_tot: -8.27 eV per atom

```
data_PmTiVO6
_chemical_formula_sum 'Pm2 Ti2 V2 O12'
_cell_length_a 5.0892
_cell_length_b 5.0892
_cell_length_c 10.1041
_cell_angle_alpha 90.00
_cell_angle_beta 90.00
_cell_angle_gamma 120.00
_symmetry_space_group_name_H-M 'P 1'
_symmetry_Int_Tables_number 1
loop_
_symmetry_equiv_pos_as_xyz
'x,y,z'
loop_
_atom_site_label
_atom_site_type_symbol
_atom_site_fract_x
_atom_site_fract_y
_atom_site_fract_z
_atom_site_occupancy
Pm1 Pm 0.0000 0.0000 0.0000 1
Pm2 Pm 0.0000 0.0000 0.5000 1
Ti1 Ti 0.6667 0.3333 0.2500 1
Ti2 Ti 0.3333 0.6667 0.7500 1
V1 V 0.3333 0.6667 0.2500 1
V2 V 0.6667 0.3333 0.7500 1
O1 O 0.6246 0.6343 0.1441 1
O2 O 0.0097 0.3754 0.1441 1
O3 O 0.3754 0.0097 0.6441 1
O4 O 0.9903 0.6246 0.8559 1
O5 O 0.3657 0.3754 0.3559 1
O6 O 0.0097 0.6343 0.3559 1
O7 O 0.6343 0.0097 0.8559 1
O8 O 0.6246 0.9903 0.3559 1
O9 O 0.9903 0.3657 0.6441 1
O10 O 0.3657 0.9903 0.1441 1
O11 O 0.6343 0.6246 0.6441 1
O12 O 0.3754 0.3657 0.8559 1
```